5
Lattice="5.2913 0.0000 0.0000 0.0000 5.2913 0.0000 0.0000 0.0000 4.0558" Properties=species:S:1:pos:R:3 comment="PBE TiCd2PtF, relaxed" raw_formation_energy_ev_per_atom=0.276 pbc="T T T"
Ti 0.0000 0.0000 0.0000
Cd 0.0000 2.6456 2.0279
Cd 2.6456 0.0000 2.0279
Pt 2.6456 2.6456 2.0279
F 2.6456 2.6456 0.0000